# 1
Density functional theory data (PBE) for a geometry-optimized Te2MoSeI structure.

a b c (Å): 5.5074 5.5074 5.5488
angles (deg): 90.00 90.00 90.00
Fractional positions:
1 I 0.0000 0.0000 0.5000
2 Se 0.0000 0.0000 0.0000
3 Te 0.5000 0.0000 0.0000
4 Te 0.0000 0.5000 0.0000
5 Mo 0.5000 0.5000 0.5000

formation energy (no corrections)	1.113	eV/atom
total moment	4.1	Bohr magnetons per cell

=====

# 2
Density functional theory data (PBE) for a geometry-optimized Th2MoSe2I4 structure.

a b c (Å): 3.7503 3.7503 24.7413
angles (deg): 90.00 90.00 120.00
Fractional positions:
1 Mo 0.0000 0.0000 0.3285
2 Th 0.6667 0.3333 0.6363
3 Se 0.6667 0.3333 0.2661
4 I 0.0000 0.0000 0.5410
5 I 0.6667 0.3333 0.0897
6 Se 0.6667 0.3333 0.3908
7 I 0.6667 0.3333 0.8984
8 Th 0.0000 0.0000 0.9942
9 I 0.0000 0.0000 0.7321

formation energy (no corrections)	-0.761	eV/atom
total moment	0.0	Bohr magnetons per cell

=====

# 3
Density functional theory data (PBE) for a geometry-optimized TlMo2SeI structure.

a b c (Å): 5.1898 6.2738 5.1898
angles (deg): 90.00 90.00 90.00
Fractional positions:
1 I 0.0000 0.0000 0.0000
2 Mo 0.5000 0.0000 0.0000
3 Mo 0.0000 0.0000 0.5000
4 Tl 0.0000 0.5000 0.0000
5 Se 0.5000 0.5000 0.5000

formation energy (no corrections)	1.814	eV/atom
total moment	6.8	Bohr magnetons per cell

=====

# 4
Density functional theory data (PBE) for a geometry-optimized SiMoI2 structure.

a b c (Å): 7.0580 7.0580 7.0957
angles (deg): 60.18 60.18 90.00
Fractional positions:
1 Mo 0.7500 0.2500 0.5000
2 Mo 0.0000 0.0000 0.0000
3 Si 0.2500 0.7500 0.5000
4 Si 0.5000 0.5000 0.0000
5 I 0.8750 0.9124 0.7500
6 I 0.0876 0.6250 0.2500
7 I 0.6624 0.1250 0.2500
8 I 0.3750 0.3376 0.7500

formation energy (no corrections)	1.223	eV/atom
total moment	0.0	Bohr magnetons per cell

=====

# 5
Density functional theory data (PBE) for a geometry-optimized SiMo2I structure.

a b c (Å): 4.5302 4.5302 4.5302
angles (deg): 60.00 60.00 60.00
Fractional positions:
1 I 0.5000 0.5000 0.5000
2 Mo 0.2500 0.2500 0.2500
3 Si 0.0000 0.0000 0.0000
4 Mo 0.7500 0.7500 0.7500

formation energy (no corrections)	0.584	eV/atom
total moment	0.0	Bohr magnetons per cell

=====

# 6
Density functional theory data (PBE) for a geometry-optimized SiMoI2 structure.

a b c (Å): 4.9470 4.9470 4.9470
angles (deg): 60.00 60.00 60.00
Fractional positions:
1 I 0.2500 0.2500 0.2500
2 Mo 0.5000 0.5000 0.5000
3 I 0.7500 0.7500 0.7500
4 Si 0.0000 0.0000 0.0000

formation energy (no corrections)	1.034	eV/atom
total moment	0.0	Bohr magnetons per cell